Entry 1:
A relaxed structure of Rb2ReBr5, computed with PBE-GGA.

Cell: 7.5185 7.5185 7.5185 Å, 117.88 117.88 93.71°
Closest atoms and distances in Å follow each position.
Atoms (fractional coordinates):
Rb 0.0000 0.5000 0.5000  10 Br 3.72-3.89
Rb 0.5000 0.0000 0.5000  10 Br 3.72-3.89
Re 0.2677 0.2677 0.0000  5 Br 2.53-2.64
Br 0.0143 0.0143 0.5406  1 Re 2.53
Br 0.0143 0.4738 0.0000  1 Re 2.53
Br 0.4738 0.0143 0.0000  1 Re 2.53
Br 0.4738 0.4738 0.4594  1 Re 2.53
Br 0.5249 0.5249 0.0000  1 Re 2.64

Calculated values
- Crystal system: tetragonal
- Space group: No. 107

=====

Entry 2:
A relaxed structure of Rb2ReRhBr6, computed with PBE-GGA.

Cell: 7.4854 7.4854 7.4854 Å, 60.00 60.00 60.00°
Closest atoms and distances in Å follow each position.
Atoms (fractional coordinates):
Rb 0.2500 0.2500 0.2500  12 Br 3.74
Rb 0.7500 0.7500 0.7500  12 Br 3.74
Re 0.0000 0.0000 0.0000  6 Br 2.60
Rh 0.5000 0.5000 0.5000  6 Br 2.69
Br 0.2459 0.2459 0.7541  1 Re 2.60, 1 Rh 2.69
Br 0.2459 0.7541 0.2459  1 Re 2.60, 1 Rh 2.69
Br 0.2459 0.7541 0.7541  1 Re 2.60, 1 Rh 2.69
Br 0.7541 0.2459 0.2459  1 Re 2.60, 1 Rh 2.69
Br 0.7541 0.2459 0.7541  1 Re 2.60, 1 Rh 2.69
Br 0.7541 0.7541 0.2459  1 Re 2.60, 1 Rh 2.69

Calculated values
- Crystal system: cubic
- Space group: No. 225

=====

Number 1: raw formation energy -855 meV per atom, total magnetic moment 4.01 μB/f.u.. Number 2: raw formation energy -585 meV per atom, total magnetic moment 3.61 μB/f.u..